Entry 1:
CaYAsBr2, single point on PBEsol structure, DFT SCAN; size of the total moment = 0.00 μB per atom; energy relative to the elements, uncorrected = -436 kJ/mol of formula units
1.0
5.1120 0.0000 0.0000
0.0000 5.1120 0.0000
0.0000 0.0000 5.8327
Y As Ca Br
1 1 1 2
Cartesian
2.5560 2.5560 2.9163
0.0000 0.0000 2.9163
0.0000 0.0000 0.0000
0.0000 2.5560 0.0000
2.5560 0.0000 0.0000

=====

Entry 2:
CaZrAs2Br, single point on PBEsol structure, DFT SCAN; size of the total moment = 0.00 μB per atom; energy relative to the elements, uncorrected = -392 kJ/mol of formula units
1.0
-3.9005 1.4535 -3.0117
-3.0295 -3.4952 2.2367
-1.4454 3.5457 3.5832
As Ca Br Zr
2 1 1 1
Cartesian
-1.5147 -1.7476 1.1183
-1.9503 0.7268 -1.5059
-4.1877 0.7520 1.4040
-0.7227 1.7729 1.7916
0.0000 0.0000 0.0000

=====

Entry 3:
CdAs4Br, single point on PBEsol structure, DFT SCAN; size of the total moment = 0.00 μB per atom; energy relative to the elements, uncorrected = 110 kJ/mol of formula units
1.0
-2.7616 4.7695 -2.0067
-4.7842 -0.5710 -3.3447
-5.2637 1.4580 2.1376
As Br Cd
4 1 1
Cartesian
-5.0449 2.2278 -1.2657
-7.2801 2.8469 -0.3580
-6.2176 4.2532 -2.1179
-7.0765 1.9853 -2.6861
-9.6072 4.2425 -2.4104
0.0000 0.0000 0.0000

=====

Entry 4:
Cd4As2Br3, single point on PBEsol structure, DFT SCAN; size of the total moment = 0.00 μB per atom; energy relative to the elements, uncorrected = -503 kJ/mol of formula units
1.0
12.6013 0.0000 0.0000
0.0000 12.6013 0.0000
0.0000 0.0000 12.6013
Cd As Br
32 16 24
Cartesian
3.1794 6.6338 12.4129
9.4219 0.3332 6.4890
3.1213 5.9675 6.1123
9.4800 12.2682 0.1884
12.4129 3.1794 6.6338
6.4890 9.4219 0.3332
6.1123 3.1213 5.9675
0.1884 9.4800 12.2682
6.6338 12.4129 3.1794
0.3332 6.4890 9.4219
5.9675 6.1123 3.1213
12.2682 0.1884 9.4800
9.4219 5.9675 0.1884
3.1794 12.2682 6.1123
9.4800 6.6338 6.4890
3.1213 0.3332 12.4129
0.1884 9.4219 5.9675
6.1123 3.1794 12.2682
6.4890 9.4800 6.6338
12.4129 3.1213 0.3332
5.9675 0.1884 9.4219
12.2682 6.1123 3.1794
6.6338 6.4890 9.4800
0.3332 12.4129 3.1213
3.5179 9.0834 2.7827
9.0834 2.7827 3.5179
2.7827 3.5179 9.0834
9.8186 9.8186 9.8186
9.0834 3.5179 9.8186
3.5179 9.8186 9.0834
9.8186 9.0834 3.5179
2.7827 2.7827 2.7827
0.6934 11.9079 5.6072
11.9079 5.6072 0.6934
5.6072 0.6934 11.9079
6.9941 6.9941 6.9941
11.9079 0.6934 6.9941
0.6934 6.9941 11.9079
6.9941 11.9079 0.6934
5.6072 5.6072 5.6072
4.9965 7.6049 1.3042
7.6049 1.3042 4.9965
1.3042 4.9965 7.6049
11.2971 11.2971 11.2971
7.6049 4.9965 11.2971
4.9965 11.2971 7.6049
11.2971 7.6049 4.9965
1.3042 1.3042 1.3042
2.9744 8.6708 5.4494
9.6269 2.3701 0.8512
3.3262 3.9305 11.7501
9.2751 10.2312 7.1519
5.4494 2.9744 8.6708
0.8512 9.6269 2.3701
11.7501 3.3262 3.9305
7.1519 9.2751 10.2312
8.6708 5.4494 2.9744
2.3701 0.8512 9.6269
3.9305 11.7501 3.3262
10.2312 7.1519 9.2751
9.6269 3.9305 7.1519
2.9744 10.2312 11.7501
9.2751 8.6708 0.8512
3.3262 2.3701 5.4494
7.1519 9.6269 3.9305
11.7501 2.9744 10.2312
0.8512 9.2751 8.6708
5.4494 3.3262 2.3701
3.9305 7.1519 9.6269
10.2312 11.7501 2.9744
8.6708 0.8512 9.2751
2.3701 5.4494 3.3262